Zr2MnAl: optimized geometry, PBEsol.

Cell lengths 3.174, 4.610, 9.468 Å; angles 90.00, 90.00, 90.00 degrees
Space group Imm2 (No. 44)
Symmetry-distinct sites (fractional):
1 Zr 0.000 0.000 0.000 [2 per cell]
2 Zr 0.000 0.500 0.216 [2 per cell]
3 Mn 0.000 0.000 0.499 [2 per cell]
4 Al 0.000 0.500 0.791 [2 per cell]

Calculated values
**Magnetization**: 0.001 μB/atom
**Crystal system**: orthorhombic
**Raw total energy**: -65.1 eV per cell
**Density**: 6.3 g cm⁻³
**ΔH_f (0 K)**: -0.136 eV per atom